(1)
# Rb4PuTh3S8

An optimized crystal structure of Rb4PuTh3S8 (PBE, the Alexandria database).

abc: 8.3250 8.3250 23.2807
angles: 90.00 90.00 120.00
Space group R-3m (No. 166, hexagonal axes)
Unique sites:
Rb  0.0000  0.0000  0.0000 x3
Rb  0.0000  0.5000  0.0000 x9
Pu  0.0000  0.0000  0.5000 x3
Th  0.0000  0.5000  0.5000 x9
S  0.0000  0.0000  0.2337 x6
S  0.0031  0.5016  0.7673 x18

Summary:
- N(E_F): 54.4 states/eV/cell
- Formation energy without anion corrections: -1.6478 eV per atom
- Total DFT energy (no corrections): -299.54 eV for the cell shown
- Size of the total moment: 0.412 μB per atom


(2)
# RbPuThS4

An optimized crystal structure of RbPuThS4 (PBE, the Alexandria database).

abc: 8.6073 8.6813 12.1751
angles: 90.00 90.00 90.00
Space group Imma (No. 74)
Unique sites:
Rb  0.0000  0.2500  0.1303 x4
Pu  0.2500  0.2500  0.7500 x4
Th  0.0000  0.0000  0.5000 x4
S  0.0000  0.0457  0.7271 x8
S  0.2068  0.2500  0.5181 x8

Summary:
- N(E_F): 41.7 states/eV/cell
- Formation energy without anion corrections: -1.6784 eV per atom
- Total DFT energy (no corrections): -203.91 eV for the cell shown
- Size of the total moment: 0.714 μB per atom